1.
# LiCe2Mn, relaxed, DFT PBE-GGA
data_LiCe2Mn
_cell_length_a 3.696
_cell_length_b 3.696
_cell_length_c 28.632
_cell_angle_alpha 90.00
_cell_angle_beta 90.00
_cell_angle_gamma 120.00
_symmetry_space_group_name_H-M 'P 1'
_symmetry_Int_Tables_number 1
loop_
_symmetry_equiv_pos_as_xyz
'x,y,z'
loop_
_atom_site_label
_atom_site_type_symbol
_atom_site_fract_x
_atom_site_fract_y
_atom_site_fract_z
_atom_site_occupancy
Li1 Li 0.000 0.000 0.000 1
Li2 Li 0.333 0.667 0.667 1
Li3 Li 0.667 0.333 0.333 1
Ce1 Ce 0.000 0.000 0.115 1
Ce2 Ce 0.000 0.000 0.885 1
Ce3 Ce 0.333 0.667 0.552 1
Ce4 Ce 0.333 0.667 0.782 1
Ce5 Ce 0.667 0.333 0.218 1
Ce6 Ce 0.667 0.333 0.448 1
Mn1 Mn 0.000 0.000 0.500 1
Mn2 Mn 0.333 0.667 0.167 1
Mn3 Mn 0.667 0.333 0.833 1
# E above lowest polymorph   4.17 kcal/mol of atoms
# ΔE_f   0.364 eV per atom
# Density of states at the Fermi level   5.2 states/eV/f.u.
# Crystal system   trigonal
# Raw total energy   -0.39497 Ry/atom



2.
# LiCe3Mn, relaxed, DFT PBE-GGA
data_LiCe3Mn
_cell_length_a 5.111
_cell_length_b 5.111
_cell_length_c 5.111
_cell_angle_alpha 90.00
_cell_angle_beta 90.00
_cell_angle_gamma 90.00
_symmetry_space_group_name_H-M 'P 1'
_symmetry_Int_Tables_number 1
loop_
_symmetry_equiv_pos_as_xyz
'x,y,z'
loop_
_atom_site_label
_atom_site_type_symbol
_atom_site_fract_x
_atom_site_fract_y
_atom_site_fract_z
_atom_site_occupancy
Li1 Li 0.000 0.000 0.000 1
Ce1 Ce 0.000 0.500 0.500 1
Ce2 Ce 0.500 0.000 0.500 1
Ce3 Ce 0.500 0.500 0.000 1
Mn1 Mn 0.500 0.500 0.500 1
# ΔE_f   0.182 eV per atom
# Density of states at the Fermi level   13.1 states/eV/f.u.
# Crystal system   cubic
# Raw total energy   -0.41125 Ry/atom



3.
# LiCe2Mn, relaxed, DFT PBE-GGA
data_LiCe2Mn
_cell_length_a 3.170
_cell_length_b 3.170
_cell_length_c 8.907
_cell_angle_alpha 90.00
_cell_angle_beta 90.00
_cell_angle_gamma 90.00
_symmetry_space_group_name_H-M 'P 1'
_symmetry_Int_Tables_number 1
loop_
_symmetry_equiv_pos_as_xyz
'x,y,z'
loop_
_atom_site_label
_atom_site_type_symbol
_atom_site_fract_x
_atom_site_fract_y
_atom_site_fract_z
_atom_site_occupancy
Li1 Li 0.000 0.000 0.000 1
Ce1 Ce 0.500 0.500 0.305 1
Ce2 Ce 0.500 0.500 0.695 1
Mn1 Mn 0.000 0.000 0.500 1
# E above lowest polymorph   0.00 kcal/mol of atoms
# ΔE_f   0.183 eV per atom
# Density of states at the Fermi level   8.2 states/eV/f.u.
# Crystal system   tetragonal
# Raw total energy   -0.40825 Ry/atom



4.
# LiCeNdMn, relaxed, DFT PBE-GGA
data_LiCeNdMn
_cell_length_a 7.211
_cell_length_b 7.211
_cell_length_c 7.211
_cell_angle_alpha 90.00
_cell_angle_beta 90.00
_cell_angle_gamma 90.00
_symmetry_space_group_name_H-M 'P 1'
_symmetry_Int_Tables_number 1
loop_
_symmetry_equiv_pos_as_xyz
'x,y,z'
loop_
_atom_site_label
_atom_site_type_symbol
_atom_site_fract_x
_atom_site_fract_y
_atom_site_fract_z
_atom_site_occupancy
Li1 Li 0.000 0.000 0.000 1
Li2 Li 0.000 0.500 0.500 1
Li3 Li 0.500 0.000 0.500 1
Li4 Li 0.500 0.500 0.000 1
Ce1 Ce 0.250 0.250 0.750 1
Ce2 Ce 0.250 0.750 0.250 1
Ce3 Ce 0.750 0.250 0.250 1
Ce4 Ce 0.750 0.750 0.750 1
Nd1 Nd 0.250 0.250 0.250 1
Nd2 Nd 0.250 0.750 0.750 1
Nd3 Nd 0.750 0.250 0.750 1
Nd4 Nd 0.750 0.750 0.250 1
Mn1 Mn 0.000 0.000 0.500 1
Mn2 Mn 0.000 0.500 0.000 1
Mn3 Mn 0.500 0.000 0.000 1
Mn4 Mn 0.500 0.500 0.500 1
# ΔE_f   0.215 eV per atom
# Density of states at the Fermi level   7.6 states/eV/f.u.
# Crystal system   cubic
# Raw total energy   -0.38448 Ry/atom



5.
# Li3Ce2MnNi12, relaxed, DFT PBE-GGA
data_Li3Ce2MnNi12
_cell_length_a 8.915
_cell_length_b 8.915
_cell_length_c 8.915
_cell_angle_alpha 39.39
_cell_angle_beta 39.39
_cell_angle_gamma 39.39
_symmetry_space_group_name_H-M 'P 1'
_symmetry_Int_Tables_number 1
loop_
_symmetry_equiv_pos_as_xyz
'x,y,z'
loop_
_atom_site_label
_atom_site_type_symbol
_atom_site_fract_x
_atom_site_fract_y
_atom_site_fract_z
_atom_site_occupancy
Li1 Li 0.000 0.500 0.500 1
Li2 Li 0.500 0.000 0.500 1
Li3 Li 0.500 0.500 0.000 1
Ce1 Ce 0.151 0.151 0.151 1
Ce2 Ce 0.849 0.849 0.849 1
Mn1 Mn 0.500 0.500 0.500 1
Ni1 Ni 0.079 0.079 0.691 1
Ni2 Ni 0.079 0.691 0.079 1
Ni3 Ni 0.131 0.584 0.584 1
Ni4 Ni 0.309 0.921 0.921 1
Ni5 Ni 0.416 0.416 0.869 1
Ni6 Ni 0.416 0.869 0.416 1
Ni7 Ni 0.584 0.131 0.584 1
Ni8 Ni 0.584 0.584 0.131 1
Ni9 Ni 0.691 0.079 0.079 1
Ni10 Ni 0.869 0.416 0.416 1
Ni11 Ni 0.921 0.309 0.921 1
Ni12 Ni 0.921 0.921 0.309 1
# ΔE_f   0.153 eV per atom
# Density of states at the Fermi level   15.9 states/eV/f.u.
# Crystal system   trigonal
# Raw total energy   -0.38141 Ry/atom